# PBE Si2HRu4, relaxed
# E ... -105.851 eV per cell
# Calculated volume ... 12.333 Å³/atom
# Magnetization ... 0.0 μB/f.u.
# Calculated density ... 8.88 g cm⁻³
data_Si2HRu4
_chemical_formula_sum 'Si4 H2 Ru8'
_symmetry_space_group_name_H-M 'I 4/m m m'
_symmetry_Int_Tables_number 139
_symmetry_space_group_name_Hall '-I 4 2'
_cell_length_a 3.774
_cell_length_b 3.774
_cell_length_c 12.125
_cell_angle_alpha 90.00
_cell_angle_beta 90.00
_cell_angle_gamma 90.00
loop_
_atom_site_label
_atom_site_type_symbol
_atom_site_fract_x
_atom_site_fract_y
_atom_site_fract_z
Si1 Si 0.000 0.000 0.135
H1 H 0.000 0.000 0.500
Ru1 Ru 0.000 0.000 0.327
Ru2 Ru 0.000 0.500 0.000